Co2Pb3 (GGA-PBE, relaxed); VASP energy = -4.744 eV per atom; total moment = 0.04 μB per formula unit; SG = No. 167
1.0
-6.582 0.000 0.000
3.291 -5.700 0.000
-3.291 1.900 5.831
Pb Co
6 4
direct
0.604 0.750 0.250
0.396 0.250 0.750
0.104 0.604 0.750
0.750 0.896 0.750
0.250 0.104 0.250
0.896 0.396 0.250
0.674 0.326 0.977
0.826 0.174 0.523
0.326 0.674 0.023
0.174 0.826 0.477